Computed, not measured: crystalline ZrTlGa2Mo at its relaxed geometry at the PBEsol level of DFT.

Unit cell a=4.7059 b=4.7059 c=5.1557 alpha=90.00 beta=90.00 gamma=90.00
Last column: nearest neighbours and their distance in Å.
Space group P4/mmm (No. 123)
Symmetry-distinct sites (fractional):
Zr: 0.0000 0.0000 0.0000  4 Tl 3.33, 8 Ga 3.49
Tl: 0.5000 0.5000 0.0000  2 Mo 2.58
Ga: 0.0000 0.5000 0.5000  2 Mo 2.35
Mo: 0.5000 0.5000 0.5000  4 Ga 2.35, 2 Tl 2.58

Values from the calculation:
- ΔH_f (0 K): 3.55 eV/f.u.